Computed, not measured: VBiPb2O6 after structural relaxation at the GGA+U level of DFT.

abc: 6.080 9.864 11.576
angles: 90.00 90.00 90.00
Positions (direct):
V  0.250  0.502  0.178
V  0.750  0.002  0.322
V  0.750  0.498  0.822
V  0.250  0.998  0.678
Bi  0.750  0.478  0.410
Bi  0.250  0.522  0.590
Bi  0.750  0.022  0.910
Bi  0.250  0.978  0.090
Pb  0.250  0.267  0.898
Pb  0.750  0.733  0.102
Pb  0.750  0.196  0.618
Pb  0.250  0.233  0.398
Pb  0.750  0.304  0.118
Pb  0.250  0.696  0.882
Pb  0.750  0.767  0.602
Pb  0.250  0.804  0.382
O  0.750  0.178  0.304
O  0.250  0.456  0.033
O  0.990  0.857  0.985
O  0.490  0.143  0.015
O  0.010  0.357  0.515
O  0.490  0.357  0.515
O  0.510  0.643  0.485
O  0.990  0.643  0.485
O  0.980  0.569  0.754
O  0.480  0.431  0.246
O  0.480  0.069  0.746
O  0.250  0.044  0.533
O  0.020  0.431  0.246
O  0.750  0.544  0.967
O  0.980  0.931  0.254
O  0.250  0.678  0.196
O  0.750  0.322  0.804
O  0.250  0.822  0.696
O  0.520  0.931  0.254
O  0.750  0.956  0.467
O  0.520  0.569  0.754
O  0.020  0.069  0.746
O  0.010  0.143  0.015
O  0.510  0.857  0.985

Properties
Its mass density is 7.37 Mg/m³. The polymorph energy (0 for the lowest one) comes out at 0.0000 eV/atom.